The following is a DFT calculation (GGA-PBE) of a relaxed La2ZnCdO5 crystal.

The formation energy without anion corrections is -2.134 eV per atom. The crystal system is tetragonal.

The space group is P4/mbm (No. 127) and the conventional cell measures 6.8305, 6.8305 and 5.8549 Å, with angles of 90.00, 90.00 and 90.00 degrees. The inequivalent atoms are La at (0.1731, 0.3269, 0.0000), Zn at (0.0000, 0.5000, 0.5000), Cd at (0.0000, 0.0000, 0.5000), O at (0.0000, 0.0000, 0.0000) and O at (0.1452, 0.6452, 0.2602).